# LiCa2US6 (PBE, optimized geometry)
data_LiCa2US6
_chemical_formula_sum 'Li2 Ca4 U2 S12'
_space_group_name_H-M_alt 'P 1 21/c 1'
_space_group_IT_number 14
_space_group_name_Hall '-P 2ybc'
_cell_length_a 6.759
_cell_length_b 7.267
_cell_length_c 10.897
_cell_angle_alpha 90.00
_cell_angle_beta 122.71
_cell_angle_gamma 90.00
loop_
_atom_site_label
_atom_site_fract_x
_atom_site_fract_y
_atom_site_fract_z
Li1 0.000 0.000 0.000
Ca1 0.195 0.098 0.732
U1 0.500 0.000 0.500
S1 0.136 0.187 0.439
S2 0.257 0.702 0.429
S3 0.387 0.040 0.242
# - total DFT energy (no corrections) (eV per atom) = -5.5991
# - DOS(E_F) (states/eV/cell) = 9.33
# - total moment (μB per cell) = 0.0
# - E_form (uncorrected) (eV per formula unit) = -14.021

=====

# La2ErTe (PBE, optimized geometry)
data_La2ErTe
_chemical_formula_sum 'La2 Er1 Te1'
_space_group_name_H-M_alt 'P 4/m m m'
_space_group_IT_number 123
_space_group_name_Hall '-P 4 2'
_cell_length_a 4.088
_cell_length_b 4.088
_cell_length_c 7.860
_cell_angle_alpha 90.00
_cell_angle_beta 90.00
_cell_angle_gamma 90.00
loop_
_atom_site_label
_atom_site_fract_x
_atom_site_fract_y
_atom_site_fract_z
La1 0.000 0.000 0.226
Er1 0.500 0.500 0.500
Te1 0.500 0.500 0.000
# - total DFT energy (no corrections) (eV per atom) = -4.9933
# - DOS(E_F) (states/eV/cell) = 4.78
# - total moment (μB per cell) = 0.0
# - energy above the most stable polymorph in this dataset (kJ/mol of formula units) = 0.0
# - E_form (uncorrected) (eV per formula unit) = -2.414